one) ! Pa2NbRe PBE relaxed; values from VASP
! - N(E_F): 1.31 states/eV per atom
! - Symmetry: R-3m (166)
! - Total moment: 0.000 μB/atom
&SYSTEM
  ibrav = 0, nat = 4, ntyp = 3
/
ATOMIC_SPECIES
Pa 231.04 Pa.upf
Nb 92.91 Nb.upf
Re 186.21 Re.upf
CELL_PARAMETERS angstrom
1.524 0.880 10.457
-1.524 0.880 10.457
0.000 -1.759 10.457
ATOMIC_POSITIONS crystal
Pa 0.092 0.092 0.092
Pa 0.908 0.908 0.908
Nb 0.000 0.000 0.000
Re 0.500 0.500 0.500



two) ! Pa2NbRe PBE relaxed; values from VASP
! - N(E_F): 1.65 states/eV per atom
! - Symmetry: Fm-3m (225)
! - Total moment: 0.002 μB/atom
&SYSTEM
  ibrav = 0, nat = 4, ntyp = 3
/
ATOMIC_SPECIES
Pa 231.04 Pa.upf
Nb 92.91 Nb.upf
Re 186.21 Re.upf
CELL_PARAMETERS angstrom
0.000 3.495 3.495
3.495 0.000 3.495
3.495 3.495 0.000
ATOMIC_POSITIONS crystal
Pa 0.250 0.250 0.250
Pa 0.750 0.750 0.750
Nb 0.000 0.000 0.000
Re 0.500 0.500 0.500



So which one wins? Going from most stable to least: two), one).



one) ! PaNbRe PBE relaxed; values from VASP
! - N(E_F): 1.04 states/eV per atom
! - Symmetry: P3m1 (156)
! - Total moment: 0.000 μB/atom
&SYSTEM
  ibrav = 0, nat = 3, ntyp = 3
/
ATOMIC_SPECIES
Pa 231.04 Pa.upf
Nb 92.91 Nb.upf
Re 186.21 Re.upf
CELL_PARAMETERS angstrom
4.656 0.000 0.000
-2.328 4.032 0.000
0.000 0.000 3.002
ATOMIC_POSITIONS crystal
Pa 0.000 0.000 0.000
Nb 0.333 0.667 0.295
Re 0.667 0.333 0.688



two) ! PaNbRe PBE relaxed; values from VASP
! - N(E_F): 1.20 states/eV per atom
! - Symmetry: P4/nmm (129)
! - Total moment: 0.000 μB/atom
&SYSTEM
  ibrav = 0, nat = 6, ntyp = 3
/
ATOMIC_SPECIES
Pa 231.04 Pa.upf
Nb 92.91 Nb.upf
Re 186.21 Re.upf
CELL_PARAMETERS angstrom
3.872 0.000 0.000
0.000 3.872 0.000
0.000 0.000 7.980
ATOMIC_POSITIONS crystal
Pa 0.250 0.750 0.000
Pa 0.750 0.250 0.000
Nb 0.250 0.250 0.370
Nb 0.750 0.750 0.630
Re 0.250 0.250 0.700
Re 0.750 0.750 0.300



So which one wins? Going from most stable to least: one), two).



one) ! PaNbRe2 PBE relaxed; values from VASP
! - N(E_F): 0.61 states/eV per atom
! - Symmetry: P4/mmm (123)
! - Total moment: 0.000 μB/atom
&SYSTEM
  ibrav = 0, nat = 4, ntyp = 3
/
ATOMIC_SPECIES
Pa 231.04 Pa.upf
Nb 92.91 Nb.upf
Re 186.21 Re.upf
CELL_PARAMETERS angstrom
4.748 0.000 0.000
0.000 4.748 0.000
0.000 0.000 3.290
ATOMIC_POSITIONS crystal
Pa 0.000 0.000 0.000
Nb 0.500 0.500 0.000
Re 0.000 0.500 0.500
Re 0.500 0.000 0.500



two) ! PaNbRe2 PBE relaxed; values from VASP
! - N(E_F): 0.60 states/eV per atom
! - Symmetry: Fm-3m (225)
! - Total moment: 0.000 μB/atom
&SYSTEM
  ibrav = 0, nat = 4, ntyp = 3
/
ATOMIC_SPECIES
Pa 231.04 Pa.upf
Nb 92.91 Nb.upf
Re 186.21 Re.upf
CELL_PARAMETERS angstrom
0.000 3.332 3.332
3.332 0.000 3.332
3.332 3.332 0.000
ATOMIC_POSITIONS crystal
Pa 0.000 0.000 0.000
Nb 0.500 0.500 0.500
Re 0.250 0.250 0.250
Re 0.750 0.750 0.750



So which one wins? Going from most stable to least: one), two).



one) ! PaNbRh PBE relaxed; values from VASP
! - N(E_F): 1.30 states/eV per atom
! - Symmetry: R3m (160)
! - Total moment: 0.307 μB/atom
&SYSTEM
  ibrav = 0, nat = 3, ntyp = 3
/
ATOMIC_SPECIES
Pa 231.04 Pa.upf
Nb 92.91 Nb.upf
Rh 102.91 Rh.upf
CELL_PARAMETERS angstrom
1.765 1.019 5.788
-1.765 1.019 5.788
0.000 -2.038 5.788
ATOMIC_POSITIONS crystal
Pa 0.000 0.000 0.000
Nb 0.211 0.211 0.211
Rh 0.765 0.765 0.765



two) ! PaNbRh PBE relaxed; values from VASP
! - N(E_F): 0.89 states/eV per atom
! - Symmetry: P-6m2 (187)
! - Total moment: 0.000 μB/atom
&SYSTEM
  ibrav = 0, nat = 3, ntyp = 3
/
ATOMIC_SPECIES
Pa 231.04 Pa.upf
Nb 92.91 Nb.upf
Rh 102.91 Rh.upf
CELL_PARAMETERS angstrom
4.719 0.000 0.000
-2.360 4.087 0.000
0.000 0.000 2.971
ATOMIC_POSITIONS crystal
Pa 0.000 0.000 0.000
Nb 0.333 0.667 0.500
Rh 0.667 0.333 0.000



three) ! PaNbRh PBE relaxed; values from VASP
! - N(E_F): 1.25 states/eV per atom
! - Symmetry: I4mm (107)
! - Total moment: 0.000 μB/atom
&SYSTEM
  ibrav = 0, nat = 3, ntyp = 3
/
ATOMIC_SPECIES
Pa 231.04 Pa.upf
Nb 92.91 Nb.upf
Rh 102.91 Rh.upf
CELL_PARAMETERS angstrom
-1.814 1.814 4.358
1.814 -1.814 4.358
1.814 1.814 -4.358
ATOMIC_POSITIONS crystal
Pa 0.000 0.000 0.000
Nb 0.309 0.309 0.000
Rh 0.657 0.657 0.000



So which one wins? Going from most stable to least: three), two), one).



one) ! PaNbRh2 PBE relaxed; values from VASP
! - N(E_F): 1.08 states/eV per atom
! - Symmetry: P4/mmm (123)
! - Total moment: 0.000 μB/atom
&SYSTEM
  ibrav = 0, nat = 4, ntyp = 3
/
ATOMIC_SPECIES
Pa 231.04 Pa.upf
Nb 92.91 Nb.upf
Rh 102.91 Rh.upf
CELL_PARAMETERS angstrom
3.160 0.000 0.000
0.000 3.160 0.000
0.000 0.000 7.273
ATOMIC_POSITIONS crystal
Pa 0.000 0.000 0.000
Nb 0.000 0.000 0.500
Rh 0.500 0.500 0.284
Rh 0.500 0.500 0.716



two) ! PaNbRh2 PBE relaxed; values from VASP
! - N(E_F): 1.05 states/eV per atom
! - Symmetry: R-3m (166)
! - Total moment: 0.000 μB/atom
&SYSTEM
  ibrav = 0, nat = 4, ntyp = 3
/
ATOMIC_SPECIES
Pa 231.04 Pa.upf
Nb 92.91 Nb.upf
Rh 102.91 Rh.upf
CELL_PARAMETERS angstrom
1.507 0.870 9.173
-1.507 0.870 9.173
0.000 -1.740 9.173
ATOMIC_POSITIONS crystal
Pa 0.000 0.000 0.000
Nb 0.500 0.500 0.500
Rh 0.242 0.242 0.242
Rh 0.758 0.758 0.758



three) ! PaNbRh2 PBE relaxed; values from VASP
! - N(E_F): 1.46 states/eV per atom
! - Symmetry: P4/mmm (123)
! - Total moment: 0.000 μB/atom
&SYSTEM
  ibrav = 0, nat = 4, ntyp = 3
/
ATOMIC_SPECIES
Pa 231.04 Pa.upf
Nb 92.91 Nb.upf
Rh 102.91 Rh.upf
CELL_PARAMETERS angstrom
4.227 0.000 0.000
0.000 4.227 0.000
0.000 0.000 4.008
ATOMIC_POSITIONS crystal
Pa 0.000 0.000 0.000
Nb 0.500 0.500 0.000
Rh 0.000 0.500 0.500
Rh 0.500 0.000 0.500



So which one wins? Going from most stable to least: three), one), two).



one) ! PaNbRu4 PBE relaxed; values from VASP
! - N(E_F): 1.37 states/eV per atom
! - Symmetry: C2/m (12)
! - Total moment: 0.000 μB/atom
&SYSTEM
  ibrav = 0, nat = 6, ntyp = 3
/
ATOMIC_SPECIES
Pa 231.04 Pa.upf
Nb 92.91 Nb.upf
Ru 101.07 Ru.upf
CELL_PARAMETERS angstrom
4.657 -1.525 0.000
4.657 1.525 0.000
-2.931 0.000 6.991
ATOMIC_POSITIONS crystal
Pa 0.000 0.000 0.000
Nb 0.000 0.000 0.500
Ru 0.326 0.326 0.167
Ru 0.336 0.336 0.645
Ru 0.664 0.664 0.355
Ru 0.674 0.674 0.833



two) ! PaNbRu4 PBE relaxed; values from VASP
! - N(E_F): 1.77 states/eV per atom
! - Symmetry: F-43m (216)
! - Total moment: 0.000 μB/atom
&SYSTEM
  ibrav = 0, nat = 6, ntyp = 3
/
ATOMIC_SPECIES
Pa 231.04 Pa.upf
Nb 92.91 Nb.upf
Ru 101.07 Ru.upf
CELL_PARAMETERS angstrom
0.000 3.704 3.704
3.704 0.000 3.704
3.704 3.704 0.000
ATOMIC_POSITIONS crystal
Pa 0.000 0.000 0.000
Nb 0.250 0.250 0.250
Ru 0.126 0.625 0.625
Ru 0.625 0.126 0.625
Ru 0.625 0.625 0.126
Ru 0.625 0.625 0.625



So which one wins? Going from most stable to least: two), one).



one) ! PaNbRu2 PBE relaxed; values from VASP
! - N(E_F): 1.00 states/eV per atom
! - Symmetry: P4/mmm (123)
! - Total moment: 0.000 μB/atom
&SYSTEM
  ibrav = 0, nat = 4, ntyp = 3
/
ATOMIC_SPECIES
Pa 231.04 Pa.upf
Nb 92.91 Nb.upf
Ru 101.07 Ru.upf
CELL_PARAMETERS angstrom
3.114 0.000 0.000
0.000 3.114 0.000
0.000 0.000 7.365
ATOMIC_POSITIONS crystal
Pa 0.000 0.000 0.000
Nb 0.000 0.000 0.500
Ru 0.500 0.500 0.286
Ru 0.500 0.500 0.714



two) ! PaNbRu2 PBE relaxed; values from VASP
! - N(E_F): 1.16 states/eV per atom
! - Symmetry: R-3m (166)
! - Total moment: 0.000 μB/atom
&SYSTEM
  ibrav = 0, nat = 4, ntyp = 3
/
ATOMIC_SPECIES
Pa 231.04 Pa.upf
Nb 92.91 Nb.upf
Ru 101.07 Ru.upf
CELL_PARAMETERS angstrom
2.347 1.355 3.813
-2.347 1.355 3.813
0.000 -2.710 3.813
ATOMIC_POSITIONS crystal
Pa 0.000 0.000 0.000
Nb 0.500 0.500 0.500
Ru 0.231 0.231 0.231
Ru 0.769 0.769 0.769



So which one wins? Going from most stable to least: one), two).



one) ! PaNbS PBE relaxed; values from VASP
! - N(E_F): 1.22 states/eV per atom
! - Symmetry: C2/m (12)
! - Total moment: 0.000 μB/atom
&SYSTEM
  ibrav = 0, nat = 6, ntyp = 3
/
ATOMIC_SPECIES
Pa 231.04 Pa.upf
Nb 92.91 Nb.upf
S 32.06 S.upf
CELL_PARAMETERS angstrom
5.275 -1.719 0.000
5.275 1.719 0.000
-3.304 0.000 6.415
ATOMIC_POSITIONS crystal
Pa 0.071 0.071 0.333
Pa 0.929 0.929 0.667
Nb 0.327 0.327 0.926
Nb 0.673 0.673 0.074
S 0.340 0.340 0.308
S 0.660 0.660 0.692



two) ! PaNbS PBE relaxed; values from VASP
! - N(E_F): 1.93 states/eV per atom
! - Symmetry: I4mm (107)
! - Total moment: 0.155 μB/atom
&SYSTEM
  ibrav = 0, nat = 3, ntyp = 3
/
ATOMIC_SPECIES
Pa 231.04 Pa.upf
Nb 92.91 Nb.upf
S 32.06 S.upf
CELL_PARAMETERS angstrom
-1.631 1.631 5.407
1.631 -1.631 5.407
1.631 1.631 -5.407
ATOMIC_POSITIONS crystal
Pa 0.000 0.000 0.000
Nb 0.701 0.701 0.000
S 0.309 0.309 0.000



So which one wins? Going from most stable to least: one), two).



one) ! PaNbS2 PBE relaxed; values from VASP
! - N(E_F): 1.00 states/eV per atom
! - Symmetry: P2_1/c (14)
! - Total moment: 0.006 μB/atom
&SYSTEM
  ibrav = 0, nat = 16, ntyp = 3
/
ATOMIC_SPECIES
Pa 231.04 Pa.upf
Nb 92.91 Nb.upf
S 32.06 S.upf
CELL_PARAMETERS angstrom
7.288 0.000 0.000
0.000 6.422 0.000
-0.612 0.000 6.558
ATOMIC_POSITIONS crystal
Pa 0.193 0.094 0.309
Pa 0.193 0.406 0.809
Pa 0.807 0.594 0.191
Pa 0.807 0.906 0.691
Nb 0.422 0.703 0.501
Nb 0.422 0.797 0.001
Nb 0.578 0.203 0.999
Nb 0.578 0.297 0.499
S 0.079 0.730 0.492
S 0.079 0.770 0.992
S 0.388 0.052 0.698
S 0.388 0.448 0.198
S 0.612 0.552 0.802
S 0.612 0.948 0.302
S 0.921 0.230 0.008
S 0.921 0.270 0.508



two) ! PaNbS2 PBE relaxed; values from VASP
! - N(E_F): 0.86 states/eV per atom
! - Symmetry: R3m (160)
! - Total moment: 0.000 μB/atom
&SYSTEM
  ibrav = 0, nat = 4, ntyp = 3
/
ATOMIC_SPECIES
Pa 231.04 Pa.upf
Nb 92.91 Nb.upf
S 32.06 S.upf
CELL_PARAMETERS angstrom
1.724 0.995 7.107
-1.724 0.995 7.107
0.000 -1.991 7.107
ATOMIC_POSITIONS crystal
Pa 0.000 0.000 0.000
Nb 0.831 0.831 0.831
S 0.425 0.425 0.425
S 0.575 0.575 0.575



three) ! PaNbS2 PBE relaxed; values from VASP
! - N(E_F): 1.11 states/eV per atom
! - Symmetry: R-3m (166)
! - Total moment: 0.000 μB/atom
&SYSTEM
  ibrav = 0, nat = 4, ntyp = 3
/
ATOMIC_SPECIES
Pa 231.04 Pa.upf
Nb 92.91 Nb.upf
S 32.06 S.upf
CELL_PARAMETERS angstrom
1.622 0.937 8.898
-1.622 0.937 8.898
0.000 -1.873 8.898
ATOMIC_POSITIONS crystal
Pa 0.000 0.000 0.000
Nb 0.500 0.500 0.500
S 0.104 0.104 0.104
S 0.896 0.896 0.896



So which one wins? Going from most stable to least: one), two), three).



one) ! PaNbSb2 PBE relaxed; values from VASP
! - N(E_F): 1.21 states/eV per atom
! - Symmetry: Pm (6)
! - Total moment: 0.000 μB/atom
&SYSTEM
  ibrav = 0, nat = 4, ntyp = 3
/
ATOMIC_SPECIES
Pa 231.04 Pa.upf
Nb 92.91 Nb.upf
Sb 121.76 Sb.upf
CELL_PARAMETERS angstrom
3.647 0.000 0.000
0.000 3.699 0.000
-1.818 0.000 7.162
ATOMIC_POSITIONS crystal
Pa 0.000 0.000 0.000
Nb 0.231 0.000 0.467
Sb 0.380 0.500 0.759
Sb 0.643 0.500 0.289



two) ! PaNbSb2 PBE relaxed; values from VASP
! - N(E_F): 0.90 states/eV per atom
! - Symmetry: P4/mmm (123)
! - Total moment: 0.000 μB/atom
&SYSTEM
  ibrav = 0, nat = 4, ntyp = 3
/
ATOMIC_SPECIES
Pa 231.04 Pa.upf
Nb 92.91 Nb.upf
Sb 121.76 Sb.upf
CELL_PARAMETERS angstrom
5.026 0.000 0.000
0.000 5.026 0.000
0.000 0.000 3.654
ATOMIC_POSITIONS crystal
Pa 0.000 0.000 0.000
Nb 0.500 0.500 0.000
Sb 0.000 0.500 0.500
Sb 0.500 0.000 0.500



three) ! PaNbSb2 PBE relaxed; values from VASP
! - N(E_F): 0.03 states/eV per atom
! - Symmetry: Fm-3m (225)
! - Total moment: 0.000 μB/atom
&SYSTEM
  ibrav = 0, nat = 4, ntyp = 3
/
ATOMIC_SPECIES
Pa 231.04 Pa.upf
Nb 92.91 Nb.upf
Sb 121.76 Sb.upf
CELL_PARAMETERS angstrom
0.000 3.575 3.575
3.575 0.000 3.575
3.575 3.575 0.000
ATOMIC_POSITIONS crystal
Pa 0.000 0.000 0.000
Nb 0.500 0.500 0.500
Sb 0.250 0.250 0.250
Sb 0.750 0.750 0.750



So which one wins? Going from most stable to least: three), two), one).



one) ! PaNbSb PBE relaxed; values from VASP
! - N(E_F): 1.58 states/eV per atom
! - Symmetry: P-6m2 (187)
! - Total moment: 0.000 μB/atom
&SYSTEM
  ibrav = 0, nat = 3, ntyp = 3
/
ATOMIC_SPECIES
Pa 231.04 Pa.upf
Nb 92.91 Nb.upf
Sb 121.76 Sb.upf
CELL_PARAMETERS angstrom
5.001 0.000 0.000
-2.501 4.331 0.000
0.000 0.000 3.183
ATOMIC_POSITIONS crystal
Pa 0.000 0.000 0.000
Nb 0.333 0.667 0.500
Sb 0.667 0.333 0.500



two) ! PaNbSb PBE relaxed; values from VASP
! - N(E_F): 1.89 states/eV per atom
! - Symmetry: I4mm (107)
! - Total moment: 0.000 μB/atom
&SYSTEM
  ibrav = 0, nat = 3, ntyp = 3
/
ATOMIC_SPECIES
Pa 231.04 Pa.upf
Nb 92.91 Nb.upf
Sb 121.76 Sb.upf
CELL_PARAMETERS angstrom
-1.747 1.747 5.667
1.747 -1.747 5.667
1.747 1.747 -5.667
ATOMIC_POSITIONS crystal
Pa 0.000 0.000 0.000
Nb 0.330 0.330 0.000
Sb 0.702 0.702 0.000



three) ! PaNbSb PBE relaxed; values from VASP
! - N(E_F): 1.27 states/eV per atom
! - Symmetry: Pnma (62)
! - Total moment: 0.000 μB/atom
&SYSTEM
  ibrav = 0, nat = 12, ntyp = 3
/
ATOMIC_SPECIES
Pa 231.04 Pa.upf
Nb 92.91 Nb.upf
Sb 121.76 Sb.upf
CELL_PARAMETERS angstrom
8.235 0.000 0.000
0.000 3.797 0.000
0.000 0.000 8.756
ATOMIC_POSITIONS crystal
Pa 0.016 0.250 0.135
Pa 0.484 0.750 0.635
Pa 0.516 0.250 0.365
Pa 0.984 0.750 0.865
Nb 0.125 0.250 0.573
Nb 0.375 0.750 0.073
Nb 0.625 0.250 0.927
Nb 0.875 0.750 0.427
Sb 0.213 0.750 0.356
Sb 0.287 0.250 0.856
Sb 0.713 0.750 0.144
Sb 0.787 0.250 0.644



four) ! PaNbSb PBE relaxed; values from VASP
! - N(E_F): 1.21 states/eV per atom
! - Symmetry: Pmmn (59)
! - Total moment: 0.000 μB/atom
&SYSTEM
  ibrav = 0, nat = 12, ntyp = 3
/
ATOMIC_SPECIES
Pa 231.04 Pa.upf
Nb 92.91 Nb.upf
Sb 121.76 Sb.upf
CELL_PARAMETERS angstrom
5.804 0.000 0.000
0.000 6.247 0.000
0.000 0.000 8.064
ATOMIC_POSITIONS crystal
Pa 0.250 0.250 0.011
Pa 0.250 0.750 0.641
Pa 0.750 0.250 0.359
Pa 0.750 0.750 0.989
Nb 0.250 0.007 0.322
Nb 0.250 0.493 0.322
Nb 0.750 0.507 0.678
Nb 0.750 0.993 0.678
Sb 0.250 0.250 0.623
Sb 0.250 0.750 0.029
Sb 0.750 0.250 0.971
Sb 0.750 0.750 0.377



So which one wins? Going from most stable to least: three), two), four), one).